(1)
8
Lattice="0.220 2.680 -0.585 -2.685 -0.394 -2.817 -6.757 1.104 8.988" Properties=species:S:1:pos:R:3 comment="CrIr4Ru3 PBE-GGA relaxed" spacegroup="C2/m (12)" vol_a3_per_atom=14.9 e_form_ev_per_atom=0.26 pbc="T T T"
Ru -6.704 2.682 3.292
Ir -2.836 1.593 -0.243
Ir -6.386 1.797 5.829
Cr 0.110 1.340 -0.292
Ru -2.517 0.707 2.294
Ru -1.343 -0.197 -1.409
Ir -4.475 1.258 4.082
Ir -4.747 2.131 1.504

---

(2)
4
Lattice="-0.171 2.720 2.415 0.508 -2.475 2.824 3.751 0.470 -0.263" Properties=species:S:1:pos:R:3 comment="Cr2IrRu PBE-GGA relaxed" spacegroup="P4/mmm (123)" vol_a3_per_atom=13.1 e_form_ev_per_atom=-0.04 pbc="T T T"
Ir 0.169 0.122 2.620
Cr 2.130 -1.003 1.280
Ru 1.790 1.595 1.076
Cr 0.000 0.000 0.000

---

(3)
4
Lattice="-0.127 3.244 3.193 -0.577 0.928 4.421 4.392 -0.114 1.394" Properties=species:S:1:pos:R:3 comment="Cr2IrRu PBE-GGA relaxed" spacegroup="C2/m (12)" vol_a3_per_atom=13.1 e_form_ev_per_atom=0.02 pbc="T T T"
Ru 0.922 1.014 2.252
Cr 1.835 2.026 4.494
Cr 0.009 0.003 0.009
Ir 2.767 3.043 6.756

---

(4)
18
Lattice="-5.832 -2.748 2.906 3.042 -4.881 1.629 1.019 3.029 5.051" Properties=species:S:1:pos:R:3 comment="Cr2Ir3Ru4 PBE-GGA relaxed" spacegroup="C2/c (15)" vol_a3_per_atom=14.0 e_form_ev_per_atom=0.07 pbc="T T T"
Ir -3.894 -1.649 3.632
Cr -1.410 -0.760 3.950
Cr -3.791 -4.226 4.498
Ru 0.284 -4.988 3.435
Ir 0.747 -2.296 3.771
Cr 2.021 -0.375 5.088
Ir -1.168 -2.860 8.041
Ir 2.123 -2.952 5.953
Ru -0.067 -1.320 6.143
Ru 0.659 0.258 2.927
Ru -2.054 0.386 6.150
Ru 2.321 -3.945 2.229
Ir -2.518 -2.305 5.815
Ru -1.703 -3.282 3.443
Ru -2.430 -4.859 6.659
Ir -0.603 -1.741 1.545
Cr -0.360 -3.842 5.636
Ru -4.091 -0.656 7.357

---

(5)
4
Lattice="3.981 0.000 0.000 0.000 2.686 -0.006 0.000 1.350 4.871" Properties=species:S:1:pos:R:3 comment="Cr2IrRu PBE-GGA relaxed" spacegroup="Amm2 (38)" vol_a3_per_atom=13.0 e_form_ev_per_atom=-0.04 pbc="T T T"
Cr 1.991 0.506 1.225
Ru 1.991 3.194 3.826
Ir 0.000 1.851 2.259
Cr 0.000 1.853 4.860

---

(6)
4
Lattice="-2.841 3.953 2.042 -3.729 -0.892 3.628 5.066 -0.248 -1.464" Properties=species:S:1:pos:R:3 comment="CrIrRu2 PBE-GGA relaxed" relative_energy_mev_per_atom=300.6 spacegroup="Immm (71)" vol_a3_per_atom=14.0 e_form_ev_per_atom=0.23 pbc="T T T"
Ru -3.499 1.630 3.020
Ir -0.974 0.195 2.499
Cr -0.530 2.618 1.706
Ru -6.357 2.961 5.486

---

(7)
4
Lattice="-2.309 -1.971 0.787 -0.283 -0.867 -3.001 3.830 -4.151 0.838" Properties=species:S:1:pos:R:3 comment="CrIrRu2 PBE-GGA relaxed" relative_energy_mev_per_atom=385.6 spacegroup="P4mm (99)" vol_a3_per_atom=14.0 e_form_ev_per_atom=0.31 pbc="T T T"
Ru 3.789 -4.106 0.829
Cr 2.031 -2.201 0.444
Ir 1.448 -4.393 -0.506
Ru -0.285 -2.514 -0.886

---

(8)
4
Lattice="2.702 0.000 0.000 0.000 3.782 0.000 0.000 0.000 5.394" Properties=species:S:1:pos:R:3 comment="CrIr2Ru PBE-GGA relaxed" relative_energy_mev_per_atom=81.2 spacegroup="Pmmm (47)" vol_a3_per_atom=13.8 e_form_ev_per_atom=-0.10 pbc="T T T"
Ir 0.000 0.000 2.724
Ru 1.351 1.891 1.349
Ir 0.000 0.000 5.368
Cr 1.351 1.891 4.046

---

(9)
6
Lattice="-3.953 -0.170 -2.579 -3.809 -2.245 1.662 -3.799 2.467 1.336" Properties=species:S:1:pos:R:3 comment="Cr4IrRu PBE-GGA relaxed" spacegroup="F-43m (216)" vol_a3_per_atom=12.4 e_form_ev_per_atom=-0.06 pbc="T T T"
Cr -5.321 1.156 -0.570
Ir -2.890 0.013 0.105
Cr -5.248 0.118 1.553
Cr -5.325 -1.202 -0.407
Ru 0.000 0.000 0.000
Cr -7.227 0.033 0.262

---

(10)
9
Lattice="-4.582 -0.778 2.551 -0.035 -0.582 5.270 -2.171 5.365 3.245" Properties=species:S:1:pos:R:3 comment="CrIr6Ru2 PBE-GGA relaxed" relative_energy_mev_per_atom=260.5 spacegroup="R3m (160)" vol_a3_per_atom=15.9 e_form_ev_per_atom=0.39 pbc="T T T"
Ir -0.937 1.593 1.453
Ir -2.722 3.312 4.314
Ru -5.134 3.400 8.343
Ir -2.740 3.014 7.017
Ir -0.955 1.291 4.187
Ir -3.315 1.190 2.777
Ir -5.072 2.914 5.622
Cr -3.704 4.856 5.846
Ru -3.208 0.284 5.344

---

(11)
8
Lattice="5.358 0.000 0.000 0.000 5.358 0.000 2.679 2.679 5.304" Properties=species:S:1:pos:R:3 comment="Cr2IrRu PBE-GGA relaxed" spacegroup="I-42d (122)" vol_a3_per_atom=19.0 e_form_ev_per_atom=1.12 pbc="T T T"
Cr 3.998 1.339 1.326
Cr 4.018 4.039 3.978
Ir 5.358 2.679 2.652
Ir 0.000 0.000 0.000
Ru 2.679 5.358 2.652
Cr 1.360 4.018 1.326
Cr 6.697 6.676 3.978
Ru 2.679 2.679 0.000

---

(12)
14
Lattice="6.508 0.007 -0.011 -2.196 6.127 0.011 -2.116 -3.094 5.320" Properties=species:S:1:pos:R:3 comment="CrIr8Ru5 PBE-GGA relaxed" spacegroup="I-4 (82)" vol_a3_per_atom=15.2 e_form_ev_per_atom=0.37 pbc="T T T"
Ir -0.730 4.041 0.333
Ir -2.148 2.956 2.580
Ru -0.464 -2.460 5.195
Ru -0.753 1.486 0.613
Ru 2.234 2.055 3.843
Ir 3.594 0.610 1.834
Ir 1.553 2.859 1.294
Ir 0.782 0.505 2.395
Ir 1.392 -0.347 4.932
Ru 2.196 -1.544 2.654
Cr -1.058 0.744 3.993
Ir 4.603 -1.454 3.337
Ru 3.374 4.996 0.988
Ir -0.263 2.985 4.575

---

(13)
4
Lattice="-1.242 -4.406 0.893 3.498 -2.201 2.162 -2.119 4.066 0.854" Properties=species:S:1:pos:R:3 comment="CrIr2Ru PBE-GGA relaxed" relative_energy_mev_per_atom=47.8 spacegroup="I4/mmm (139)" vol_a3_per_atom=13.8 e_form_ev_per_atom=-0.13 pbc="T T T"
Ir 0.000 0.000 0.000
Ir 1.128 -3.304 1.528
Ru -1.117 -1.822 1.637
Cr 1.253 -0.719 2.272

---

(14)
4
Lattice="-1.864 2.173 -0.139 -3.328 -2.793 0.954 0.575 0.763 4.237" Properties=species:S:1:pos:R:3 comment="Cr2IrRu PBE-GGA relaxed" spacegroup="Pmmm (47)" vol_a3_per_atom=13.8 e_form_ev_per_atom=0.20 pbc="T T T"
Ru -1.377 -1.015 2.596
Cr 0.000 0.000 0.000
Ir -0.645 1.468 2.049
Cr -2.596 -0.310 0.408

---

(15)
4
Lattice="8.700 -0.002 -0.001 8.293 2.632 -0.001 8.293 1.284 2.298" Properties=species:S:1:pos:R:3 comment="Cr2IrRu PBE-GGA relaxed" spacegroup="R-3m (166)" vol_a3_per_atom=13.2 e_form_ev_per_atom=0.06 pbc="T T T"
Cr 0.001 0.000 0.000
Ru 18.965 2.935 1.722
Ir 6.322 0.978 0.574
Cr 12.642 1.957 1.148

---

(16)
5
Lattice="-2.464 -1.570 -3.348 -1.584 -3.187 2.661 -3.342 2.669 1.208" Properties=species:S:1:pos:R:3 comment="CrIr3Ru PBE-GGA relaxed" relative_energy_mev_per_atom=1541.9 spacegroup="Pm-3m (221)" vol_a3_per_atom=17.6 e_form_ev_per_atom=1.55 pbc="T T T"
Ir -1.671 1.334 0.604
Cr 0.000 0.000 0.000
Ir -0.792 -1.594 1.330
Ru -3.695 -1.044 0.260
Ir -1.232 -0.785 -1.674

---

(17)
4
Lattice="4.643 0.003 -0.001 1.543 4.380 0.001 -3.093 -2.192 2.682" Properties=species:S:1:pos:R:3 comment="CrIrRu2 PBE-GGA relaxed" relative_energy_mev_per_atom=38.6 spacegroup="I-4m2 (119)" vol_a3_per_atom=13.6 e_form_ev_per_atom=-0.04 pbc="T T T"
Ir 0.772 2.190 1.341
Ru 0.000 0.000 0.000
Cr 3.093 2.191 0.000
Ru 2.322 0.001 1.341

---

(18)
12
Lattice="-1.812 -1.939 0.565 -0.881 0.572 -7.392 7.529 -4.811 1.102" Properties=species:S:1:pos:R:3 comment="CrIr3Ru2 PBE-GGA relaxed" relative_energy_mev_per_atom=89.2 spacegroup="P-1 (2)" vol_a3_per_atom=14.1 e_form_ev_per_atom=0.01 pbc="T T T"
Ir -0.059 -0.559 -5.382
Ir 4.896 -5.619 -0.343
Ir -0.362 -1.398 -2.697
Ru 1.517 -2.924 -1.936
Ir 5.198 -4.780 -3.028
Ru -0.616 -2.306 -0.109
Cr 1.955 -2.659 0.400
Ru 5.452 -3.873 -5.615
Ir 0.784 -3.027 -4.625
Ru 3.319 -3.254 -3.789
Ir 4.052 -3.151 -1.100
Cr 2.882 -3.519 -6.124

---

(19)
4
Lattice="4.630 0.016 0.000 -1.526 4.372 0.000 0.000 0.000 2.707" Properties=species:S:1:pos:R:3 comment="CrIrRu2 PBE-GGA relaxed" relative_energy_mev_per_atom=83.9 spacegroup="Cmmm (65)" vol_a3_per_atom=13.7 e_form_ev_per_atom=0.01 pbc="T T T"
Ir -0.763 2.186 1.354
Ru 0.000 0.000 0.000
Cr 2.315 0.008 1.354
Ru 1.552 2.194 0.000

---

(20)
4
Lattice="-0.636 4.276 -0.196 -2.976 1.624 -2.690 -3.640 1.721 1.585" Properties=species:S:1:pos:R:3 comment="CrIr2Ru PBE-GGA relaxed" relative_energy_mev_per_atom=563.5 spacegroup="F-43m (216)" vol_a3_per_atom=14.3 e_form_ev_per_atom=0.38 pbc="T T T"
Ru -5.439 5.717 -0.975
Ir -1.813 1.906 -0.325
Ir 0.000 0.000 0.000
Cr -3.626 3.811 -0.650